Material: Sc5Tl3
Method: DFT, PBE
State: relaxed

Cell: 4.836 6.370 12.398 Å, 90.00 90.00 90.00°
Fractional coordinates of all 16 atoms:
1 Sc 0.500 0.842 0.109
2 Sc 0.000 0.140 0.232
3 Tl 0.000 0.500 0.500
4 Tl 0.000 0.000 0.000
5 Sc 0.000 0.860 0.768
6 Tl 0.500 0.119 0.649
7 Sc 0.000 0.000 0.500
8 Sc 0.000 0.500 0.000
9 Sc 0.500 0.342 0.391
10 Sc 0.500 0.158 0.891
11 Sc 0.000 0.640 0.268
12 Tl 0.500 0.381 0.149
13 Sc 0.000 0.360 0.732
14 Tl 0.500 0.619 0.851
15 Sc 0.500 0.658 0.609
16 Tl 0.500 0.881 0.351

Summary:
Total DFT energy (no corrections)   -81.48 eV/cell
Energy of formation from the pure elements   -1.99 eV per formula unit
Total magnetization   0.000 Bohr magnetons per cell

Material: ScTl4
Method: DFT, PBE
State: relaxed

Cell: 8.944 8.944 8.944 Å, 152.57 152.57 39.19°
Fractional coordinates of all 5 atoms:
1 Tl 0.750 0.250 0.500
2 Tl 0.410 0.410 0.000
3 Tl 0.250 0.750 0.500
4 Sc 0.000 0.000 0.000
5 Tl 0.590 0.590 0.000

Summary:
Total DFT energy (no corrections)   -14.75 eV/cell
Energy of formation from the pure elements   1.05 eV per formula unit
Total magnetization   0.000 Bohr magnetons per cell

Material: Sc5Tl3
Method: DFT, PBE
State: relaxed

Cell: 8.593 8.593 8.590 Å, 96.59 96.59 140.41°
Fractional coordinates of all 16 atoms:
1 Tl 0.837 0.338 0.176
2 Tl 0.662 0.838 0.500
3 Tl 0.337 0.162 0.500
4 Sc 0.721 0.580 0.302
5 Sc 0.419 0.722 0.142
6 Tl 0.162 0.662 0.824
7 Sc 0.250 0.750 0.500
8 Tl 0.250 0.250 0.000
9 Sc 0.778 0.080 0.858
10 Sc 0.080 0.222 0.302
11 Tl 0.750 0.750 0.000
12 Sc 0.221 0.920 0.142
13 Sc 0.278 0.420 0.698
14 Sc 0.749 0.250 0.500
15 Sc 0.919 0.778 0.698
16 Sc 0.580 0.278 0.858

Summary:
Total DFT energy (no corrections)   -81.67 eV/cell
Energy of formation from the pure elements   -2.08 eV per formula unit
Total magnetization   1.321 Bohr magnetons per cell

Material: Sc2Tl
Method: DFT, PBE
State: relaxed

Cell: 5.959 5.959 5.959 Å, 60.00 60.00 60.00°
Fractional coordinates of all 6 atoms:
1 Sc 0.625 0.125 0.125
2 Sc 0.125 0.125 0.125
3 Tl 0.750 0.750 0.750
4 Sc 0.125 0.125 0.625
5 Tl 0.500 0.500 0.500
6 Sc 0.125 0.625 0.125

Summary:
Total DFT energy (no corrections)   -29.07 eV/cell
Energy of formation from the pure elements   0.49 eV per formula unit
Total magnetization   0.000 Bohr magnetons per cell

Material: Sc2Tl
Method: DFT, PBE
State: relaxed

Cell: 14.719 14.719 14.719 Å, 162.72 162.72 24.53°
Fractional coordinates of all 12 atoms:
1 Sc 0.835 0.335 0.500
2 Tl 0.923 0.923 0.000
3 Sc 0.585 0.585 0.000
4 Sc 0.506 0.006 0.500
5 Tl 0.173 0.673 0.500
6 Sc 0.665 0.165 0.500
7 Tl 0.327 0.827 0.500
8 Sc 0.744 0.744 0.000
9 Tl 0.077 0.077 0.000
10 Sc 0.994 0.494 0.500
11 Sc 0.256 0.256 0.000
12 Sc 0.415 0.415 0.000

Summary:
Total DFT energy (no corrections)   -62.72 eV/cell
Energy of formation from the pure elements   -0.65 eV per formula unit
Total magnetization   0.291 Bohr magnetons per cell

Material: Sc2Tl
Method: DFT, PBE
State: relaxed

Cell: 4.848 4.848 3.523 Å, 90.00 90.00 90.00°
Fractional coordinates of all 3 atoms:
1 Sc 0.500 0.000 0.500
2 Sc 0.000 0.500 0.500
3 Tl 0.000 0.000 0.000

Summary:
Total DFT energy (no corrections)   -14.68 eV/cell
Energy of formation from the pure elements   0.35 eV per formula unit
Total magnetization   1.003 Bohr magnetons per cell

Repeat the fifth record exactly.
Material: Sc2Tl
Method: DFT, PBE
State: relaxed

Cell: 14.719 14.719 14.719 Å, 162.72 162.72 24.53°
Fractional coordinates of all 12 atoms:
1 Sc 0.835 0.335 0.500
2 Tl 0.923 0.923 0.000
3 Sc 0.585 0.585 0.000
4 Sc 0.506 0.006 0.500
5 Tl 0.173 0.673 0.500
6 Sc 0.665 0.165 0.500
7 Tl 0.327 0.827 0.500
8 Sc 0.744 0.744 0.000
9 Tl 0.077 0.077 0.000
10 Sc 0.994 0.494 0.500
11 Sc 0.256 0.256 0.000
12 Sc 0.415 0.415 0.000

Summary:
Total DFT energy (no corrections)   -62.72 eV/cell
Energy of formation from the pure elements   -0.65 eV per formula unit
Total magnetization   0.291 Bohr magnetons per cell

Which formula does entry 1 have?
Sc5Tl3

Which value of total DFT energy (no corrections) does entry 3 give?
-81.67 eV/cell